4
Lattice="-7.860 -4.893 6.188 -5.140 -7.070 6.900 -5.546 -4.066 8.759" Properties=species:S:1:pos:R:3 comment="BaSc2Cd | the Alexandria database | PBE | optimized geometry" spacegroup="R3m (160)" dft_energy_ev_per_atom=-3.707 formation_enthalpy_0k_ev_per_atom=0.168 total_magnetization_mub_per_cell=0.7 pbc="T T T"
Ba -9.205 -7.956 10.844
Cd -13.728 -11.864 16.171
Sc -0.051 -0.044 0.060
Sc -4.836 -4.179 5.697

***

4
Lattice="-0.178 0.674 -3.717 -2.390 -2.846 -0.402 -8.658 2.229 0.818" Properties=species:S:1:pos:R:3 comment="BaScCd2 | the Alexandria database | PBE | optimized geometry" spacegroup="P2/m (10)" dft_energy_ev_per_atom=-2.754 de_polymorph_ev_per_atom=0.000 formation_enthalpy_0k_ev_per_atom=-0.233 total_magnetization_mub_per_cell=0.0 pbc="T T T"
Sc -2.851 0.183 -1.755
Ba -8.374 -0.126 -1.547
Cd -2.750 -2.553 -0.332
Cd -5.163 -0.602 0.138

***

| no. | density (g cm⁻³) |
| --- | --- |
| 1 | 4.703 |
| 2 | 5.862 |